# 1
Below is Pr3CoGe2 after structural relaxation, with properties calculated at the GGA-PBE level.

Cell: 4.269 11.646 12.046 Å, 90.00 90.00 90.00°
Atoms (fractional coordinates):
Co 0.250 0.134 0.132
Ge 0.250 0.494 0.804
Ge 0.250 0.006 0.304
Pr 0.250 0.445 0.381
Ge 0.250 0.684 0.476
Pr 0.750 0.201 0.278
Co 0.750 0.634 0.368
Co 0.250 0.366 0.632
Pr 0.750 0.629 0.945
Pr 0.750 0.945 0.119
Pr 0.250 0.371 0.055
Pr 0.250 0.055 0.881
Pr 0.750 0.871 0.445
Ge 0.750 0.184 0.024
Pr 0.250 0.799 0.722
Co 0.750 0.866 0.868
Ge 0.250 0.816 0.976
Pr 0.250 0.129 0.555
Pr 0.250 0.701 0.222
Ge 0.750 0.994 0.696
Pr 0.750 0.299 0.778
Ge 0.750 0.316 0.524
Ge 0.750 0.506 0.196
Pr 0.750 0.555 0.619

Output
space group: No. 62
ΔH_f (0 K): -640 meV per atom

=====

# 2
Below is Mn3CrBr after structural relaxation, with properties calculated at the GGA-PBE level.

Cell: 4.599 4.599 4.599 Å, 90.00 90.00 90.00°
Atoms (fractional coordinates):
Mn 0.500 0.000 0.000
Cr 0.000 0.000 0.000
Mn 0.000 0.000 0.500
Mn 0.000 0.500 0.000
Br 0.500 0.500 0.500

Output
raw formation energy: 0.985 eV per atom
space group: No. 221
E above lowest polymorph: 0.0 meV/atom

=====

# 3
Below is K5CeTe5 after structural relaxation, with properties calculated at the GGA-PBE level.

Cell: 6.670 8.841 9.684 Å, 107.18 90.00 112.16°
Atoms (fractional coordinates):
K 0.699 0.397 0.321
K 0.000 0.000 0.500
Te 0.500 0.000 0.000
K 0.301 0.603 0.679
K 0.320 0.641 0.145
Te 0.865 0.729 0.156
Te 0.144 0.289 0.299
Te 0.135 0.271 0.844
Ce 0.000 0.000 0.000
Te 0.856 0.711 0.701
K 0.680 0.359 0.855

Output
raw formation energy: -0.994 eV per atom
space group: No. 12

=====

# 4
Below is Cs3BaCu2Br9 after structural relaxation, with properties calculated at the GGA-PBE level.

Cell: 7.808 7.808 10.025 Å, 90.00 90.00 120.00°
Atoms (fractional coordinates):
Ba 0.000 0.000 0.500
Br 0.000 0.500 0.000
Cs 0.333 0.667 0.700
Br 0.178 0.822 0.298
Br 0.822 0.178 0.702
Br 0.357 0.178 0.702
Cs 0.000 0.000 0.000
Br 0.643 0.822 0.298
Br 0.822 0.643 0.702
Cs 0.667 0.333 0.300
Cu 0.667 0.333 0.851
Br 0.500 0.000 0.000
Br 0.178 0.357 0.298
Br 0.500 0.500 0.000
Cu 0.333 0.667 0.149

Output
raw formation energy: -1.214 eV per atom
space group: No. 164

=====

# 5
Below is CoAu2Br after structural relaxation, with properties calculated at the GGA-PBE level.

Cell: 9.940 9.940 9.940 Å, 17.30 17.30 17.30°
Atoms (fractional coordinates):
Au 0.014 0.014 0.014
Br 0.250 0.250 0.250
Au 0.486 0.486 0.486
Co 0.750 0.750 0.750

Output
raw formation energy: 0.420 eV per atom
space group: No. 166
E above lowest polymorph: 188.9 meV/atom

=====

# 6
Below is CdIn9Hg6 after structural relaxation, with properties calculated at the GGA-PBE level.

Cell: 8.294 8.294 8.523 Å, 119.11 119.11 90.00°
Atoms (fractional coordinates):
In 0.688 0.487 0.678
In 0.010 0.809 0.322
In 0.990 0.191 0.678
Hg 0.246 0.246 0.493
In 0.191 0.688 0.678
In 0.809 0.312 0.322
In 0.500 0.500 0.000
Hg 0.854 0.345 0.000
Cd 0.000 0.000 0.000
In 0.513 0.010 0.322
Hg 0.146 0.655 0.000
Hg 0.345 0.146 0.000
In 0.312 0.513 0.322
Hg 0.655 0.854 0.000
Hg 0.754 0.754 0.507
In 0.487 0.990 0.678

Output
space group: No. 87
ΔH_f (0 K): 12 meV per atom

=====

# 7
Below is LaPr6Sn after structural relaxation, with properties calculated at the GGA-PBE level.

Cell: 5.055 5.055 10.571 Å, 90.00 90.00 90.00°
Atoms (fractional coordinates):
Pr 0.500 0.000 0.737
Pr 0.500 0.500 0.000
Pr 0.000 0.500 0.263
Sn 0.000 0.000 0.500
Pr 0.500 0.500 0.500
Pr 0.000 0.500 0.737
La 0.000 0.000 0.000
Pr 0.500 0.000 0.263

Output
space group: No. 123
ΔH_f (0 K): -193 meV per atom

=====

# 8
Below is NdScTe2S after structural relaxation, with properties calculated at the GGA-PBE level.

Cell: 4.350 4.350 15.194 Å, 90.00 90.00 90.00°
Atoms (fractional coordinates):
Te 0.000 0.500 0.714
Sc 0.000 0.500 0.898
Nd 0.500 0.000 0.614
Te 0.500 0.000 0.907
Te 0.000 0.500 0.093
Nd 0.000 0.500 0.386
S 0.000 0.000 0.500
Te 0.500 0.000 0.286
Sc 0.500 0.000 0.102
S 0.500 0.500 0.500

Output
raw formation energy: -1.380 eV per atom
space group: No. 129

=====

# 9
Below is K2CrReTe after structural relaxation, with properties calculated at the GGA-PBE level.

Cell: 6.415 5.065 6.415 Å, 90.00 90.00 90.00°
Atoms (fractional coordinates):
Cr 0.500 0.500 0.500
K 0.000 0.000 0.500
Te 0.000 0.000 0.000
Re 0.000 0.500 0.000
K 0.500 0.000 0.000

Output
raw formation energy: 1.236 eV per atom
space group: No. 123

=====

# 10
Below is PaSe2F after structural relaxation, with properties calculated at the GGA-PBE level.

Cell: 4.072 4.072 7.411 Å, 90.14 105.81 120.00°
Atoms (fractional coordinates):
F 0.708 0.604 0.313
Se 0.546 0.024 0.570
Se 0.204 0.851 0.055
Pa 0.042 0.271 0.312

Output
raw formation energy: -1.934 eV per atom
space group: No. 8
E above lowest polymorph: 54.1 meV/atom

=====

# 11
Below is RbZrZn2 after structural relaxation, with properties calculated at the GGA-PBE level.

Cell: 8.092 8.092 6.822 Å, 53.62 53.62 90.00°
Atoms (fractional coordinates):
Rb 0.500 0.500 0.000
Zn 0.875 0.931 0.750
Zr 0.750 0.250 0.500
Zn 0.375 0.319 0.750
Zr 0.000 0.000 0.000
Zn 0.069 0.625 0.250
Zn 0.681 0.125 0.250
Rb 0.250 0.750 0.500

Output
space group: No. 122
E above lowest polymorph: 67.5 meV/atom
ΔH_f (0 K): 708 meV per atom

=====

# 12
Below is Ca2UPaP4 after structural relaxation, with properties calculated at the GGA-PBE level.

Cell: 4.046 7.005 7.049 Å, 109.39 90.00 90.00°
Atoms (fractional coordinates):
P 0.500 0.757 0.771
P 0.000 0.743 0.230
Ca 0.500 0.000 0.500
Ca 0.000 0.500 0.500
U 0.000 0.000 0.000
P 0.500 0.243 0.229
Pa 0.500 0.500 0.000
P 0.000 0.257 0.770

Output
space group: No. 10
ΔH_f (0 K): -1154 meV per atom

=====

no.,total magnetization (μB/f.u.),E_tot (eV/atom)
1,0.00,-5.75
2,7.88,-6.78
3,1.05,-3.46
4,0.00,-3.06
5,2.17,-3.41
6,0.00,-1.70
7,0.00,-4.89
8,0.00,-5.68
9,2.76,-4.25
10,0.00,-6.52
11,0.92,-2.31
12,2.72,-6.96